1.
Here is K2RbMg after structural relaxation from Alexandria via LeMat-Bulk. Energies are from PBE.

uncorrected energy	-0.960	eV/atom

abc: 5.8785 5.8785 28.8304
angles: 90.00 90.00 90.00
Last column: nearest neighbours and their distance in Å.
Space group I-42d (No. 122)
One atom of each set of equivalent atoms:
K (0.2254, 0.2500, 0.1250) x8  4 K 3.96-4.37, 2 Mg 4.11, 2 Rb 4.21
Rb (0.0000, 0.0000, 0.5000) x4  4 Mg 4.16, 4 K 4.21
Mg (0.0000, 0.0000, 0.0000) x4  4 K 4.11, 4 Rb 4.16

---

2.
Here is K3RbMg after structural relaxation from Alexandria via LeMat-Bulk. Energies are from PBE.

energy relative to the lowest polymorph listed for this composition	0.000	eV/atom

abc: 7.1828 7.1828 7.1828
angles: 90.00 90.00 90.00
Last column: nearest neighbours and their distance in Å.
Space group Pm-3m (No. 221)
One atom of each set of equivalent atoms:
K (0.0000, 0.0000, 0.5000) x3  2 Mg 3.59
Rb (0.5000, 0.5000, 0.5000) x1  12 K 5.08
Mg (0.0000, 0.0000, 0.0000) x1  6 K 3.59

---

3.
Here is KRbMg2 after structural relaxation from Alexandria via LeMat-Bulk. Energies are from PBE.

energy relative to the lowest polymorph listed for this composition	0.000	eV/atom

abc: 9.0748 9.0748 9.0748
angles: 90.00 90.00 90.00
Last column: nearest neighbours and their distance in Å.
Space group Fm-3m (No. 225)
One atom of each set of equivalent atoms:
K (0.0000, 0.0000, 0.0000) x4  8 Mg 3.93
Rb (0.0000, 0.0000, 0.5000) x4  8 Mg 3.93
Mg (0.2500, 0.2500, 0.2500) x8  4 K 3.93, 4 Rb 3.93

---

4.
Here is KRb2Mg2 after structural relaxation from Alexandria via LeMat-Bulk. Energies are from PBE.

energy relative to the lowest polymorph listed for this composition	0.094	eV/atom

abc: 11.3881 11.3881 4.1839
angles: 90.00 90.00 90.00
Last column: nearest neighbours and their distance in Å.
Space group P4/mbm (No. 127)
One atom of each set of equivalent atoms:
K (0.0000, 0.0000, 0.0000) x2  2 K 4.18, 4 Rb 4.42
Rb (0.1362, 0.3638, 0.0000) x4  6 Mg 3.90-3.98, 2 Rb 4.18
Mg (0.1598, 0.6598, 0.5000) x4  6 Rb 3.90-3.98, 2 Mg 4.18

---

5.
Here is K2RbMg2 after structural relaxation from Alexandria via LeMat-Bulk. Energies are from PBE.

energy relative to the lowest polymorph listed for this composition	0.000	eV/atom

abc: 4.4011 4.4011 28.5539
angles: 90.00 90.00 90.00
Last column: nearest neighbours and their distance in Å.
Space group I4/mmm (No. 139)
One atom of each set of equivalent atoms:
K (0.0000, 0.0000, 0.1383) x4  4 Mg 3.88
Rb (0.0000, 0.0000, 0.5000) x2  4 Rb 4.40
Mg (0.0000, 0.5000, 0.2500) x4  4 Mg 3.11

---

6.
Here is KRb2Mg2 after structural relaxation from Alexandria via LeMat-Bulk. Energies are from PBE.

energy relative to the lowest polymorph listed for this composition	0.000	eV/atom

abc: 4.4161 4.4161 29.1487
angles: 90.00 90.00 90.00
Last column: nearest neighbours and their distance in Å.
Space group I4/mmm (No. 139)
One atom of each set of equivalent atoms:
K (0.0000, 0.0000, 0.0000) x2  4 K 4.42
Rb (0.0000, 0.0000, 0.3661) x4  4 Mg 4.04, 4 Rb 4.42
Mg (0.0000, 0.5000, 0.2500) x4  4 Mg 3.12

---

7.
Here is K2RbMg2 after structural relaxation from Alexandria via LeMat-Bulk. Energies are from PBE.

energy relative to the lowest polymorph listed for this composition	0.023	eV/atom

abc: 10.5014 10.5014 4.6502
angles: 90.00 90.00 90.00
Last column: nearest neighbours and their distance in Å.
Space group P4/mbm (No. 127)
One atom of each set of equivalent atoms:
K (0.1782, 0.3218, 0.0000) x4  6 Mg 3.86-3.97
Rb (0.0000, 0.0000, 0.5000) x2  4 Mg 4.29, 8 K 4.51, 2 Rb 4.65
Mg (0.1055, 0.6055, 0.5000) x4  1 Mg 3.13

---

8.
Here is K4Rb2Mg after structural relaxation from Alexandria via LeMat-Bulk. Energies are from PBE.

uncorrected energy	-0.975	eV/atom

abc: 6.9836 6.9836 22.3998
angles: 90.00 90.00 90.00
Last column: nearest neighbours and their distance in Å.
Space group I4/mmm (No. 139)
One atom of each set of equivalent atoms:
K (0.0000, 0.0000, 0.1655) x4  1 Mg 3.71
K (0.0000, 0.5000, 0.0000) x4  2 Mg 3.49
Rb (0.0000, 0.0000, 0.3651) x4  9 K 4.47-4.99
Mg (0.0000, 0.0000, 0.0000) x2  6 K 3.49-3.71

---

9.
Here is K2RbMg after structural relaxation from Alexandria via LeMat-Bulk. Energies are from PBE.

uncorrected energy	-0.896	eV/atom

abc: 4.3962 4.3962 47.0446
angles: 90.00 90.00 120.00
Last column: nearest neighbours and their distance in Å.
Space group R-3m (No. 166, hexagonal axes)
One atom of each set of equivalent atoms:
K (0.0000, 0.0000, 0.0784) x6  1 Mg 3.69
Rb (0.0000, 0.0000, 0.5000) x3  6 Rb 4.40, 6 K 4.86
Mg (0.0000, 0.0000, 0.0000) x3  2 K 3.69

---

10.
Here is K2RbMgSn after structural relaxation from Alexandria via LeMat-Bulk. Energies are from PBE.

uncorrected energy	-1.732	eV/atom

abc: 6.9857 6.9857 5.5393
angles: 90.00 90.00 90.00
Last column: nearest neighbours and their distance in Å.
Space group P4/mmm (No. 123)
One atom of each set of equivalent atoms:
K (0.0000, 0.5000, 0.0000) x2  2 Sn 3.49
Rb (0.0000, 0.0000, 0.5000) x1  8 K 4.46, 4 Mg 4.94
Mg (0.5000, 0.5000, 0.5000) x1  2 Sn 2.77
Sn (0.5000, 0.5000, 0.0000) x1  2 Mg 2.77

---

11.
Here is KRb2MgTc after structural relaxation from Alexandria via LeMat-Bulk. Energies are from PBE.

uncorrected energy	-2.042	eV/atom

abc: 7.1613 7.1613 5.3051
angles: 90.00 90.00 90.00
Last column: nearest neighbours and their distance in Å.
Space group P4/mmm (No. 123)
One atom of each set of equivalent atoms:
K (0.0000, 0.0000, 0.0000) x1  8 Rb 4.46
Rb (0.0000, 0.5000, 0.5000) x2  2 Mg 3.58
Mg (0.5000, 0.5000, 0.5000) x1  2 Tc 2.65
Tc (0.5000, 0.5000, 0.0000) x1  2 Mg 2.65

---

12.
Here is K2RbMgTi after structural relaxation from Alexandria via LeMat-Bulk. Energies are from PBE.

uncorrected energy	-1.141	eV/atom

abc: 6.7771 6.7771 6.4906
angles: 90.00 90.00 90.00
Last column: nearest neighbours and their distance in Å.
Space group P4/mmm (No. 123)
One atom of each set of equivalent atoms:
K (0.0000, 0.5000, 0.0000) x2  2 Rb 3.39
Rb (0.0000, 0.0000, 0.0000) x1  2 Mg 3.25, 4 K 3.39
Mg (0.0000, 0.0000, 0.5000) x1  2 Rb 3.25
Ti (0.5000, 0.5000, 0.5000) x1  8 K 4.69, 4 Mg 4.79

---

13.
Here is KRb2MgTl after structural relaxation from Alexandria via LeMat-Bulk. Energies are from PBE.

energy relative to the lowest polymorph listed for this composition	0.000	eV/atom

abc: 7.2432 7.2432 5.6579
angles: 90.00 90.00 90.00
Last column: nearest neighbours and their distance in Å.
Space group P4/mmm (No. 123)
One atom of each set of equivalent atoms:
K (0.0000, 0.0000, 0.0000) x1  8 Rb 4.60, 4 Mg 5.12
Rb (0.0000, 0.5000, 0.5000) x2  2 Tl 3.62
Mg (0.5000, 0.5000, 0.0000) x1  2 Tl 2.83
Tl (0.5000, 0.5000, 0.5000) x1  2 Mg 2.83

---

14.
Here is K2RbMgTl after structural relaxation from Alexandria via LeMat-Bulk. Energies are from PBE.

energy relative to the lowest polymorph listed for this composition	0.000	eV/atom

abc: 6.9350 6.9350 5.6676
angles: 90.00 90.00 90.00
Last column: nearest neighbours and their distance in Å.
Space group P4/mmm (No. 123)
One atom of each set of equivalent atoms:
K (0.0000, 0.5000, 0.0000) x2  2 Tl 3.47
Rb (0.0000, 0.0000, 0.5000) x1  8 K 4.48, 4 Mg 4.90
Mg (0.5000, 0.5000, 0.5000) x1  2 Tl 2.83
Tl (0.5000, 0.5000, 0.0000) x1  2 Mg 2.83

---

15.
Here is KRb2Mg3Tl12 after structural relaxation from Alexandria via LeMat-Bulk. Energies are from PBE.

uncorrected energy	-1.950	eV/atom

abc: 7.8495 7.8495 37.2519
angles: 90.00 90.00 120.00
Last column: nearest neighbours and their distance in Å.
Space group R-3m (No. 166, hexagonal axes)
One atom of each set of equivalent atoms:
K (0.0000, 0.0000, 0.0000) x3  6 Tl 3.47
Rb (0.0000, 0.0000, 0.3602) x6  9 Tl 4.02-4.34
Mg (0.0000, 0.5000, 0.5000) x9  4 Tl 2.99
Tl (0.0370, 0.5185, 0.5907) x18  4 Tl 3.15-3.49, 1 Mg 3.39, 1 K 3.47
Tl (0.0651, 0.5325, 0.1231) x18  2 Mg 2.99, 4 Tl 3.15-3.16

---

16.
Here is K2RbMgW after structural relaxation from Alexandria via LeMat-Bulk. Energies are from PBE.

uncorrected energy	-2.306	eV/atom

abc: 6.7595 6.7595 5.5945
angles: 90.00 90.00 90.00
Last column: nearest neighbours and their distance in Å.
Space group P4/mmm (No. 123)
One atom of each set of equivalent atoms:
K (0.0000, 0.5000, 0.0000) x2  2 Mg 3.38
Rb (0.0000, 0.0000, 0.5000) x1  8 K 4.39, 4 W 4.78
Mg (0.5000, 0.5000, 0.0000) x1  2 W 2.80
W (0.5000, 0.5000, 0.5000) x1  2 Mg 2.80

---

17.
Here is K2RbMgZn after structural relaxation from Alexandria via LeMat-Bulk. Energies are from PBE.

uncorrected energy	-1.060	eV/atom

abc: 6.8164 6.8164 5.3751
angles: 90.00 90.00 90.00
Last column: nearest neighbours and their distance in Å.
Space group P4/mmm (No. 123)
One atom of each set of equivalent atoms:
K (0.0000, 0.5000, 0.0000) x2  2 Zn 3.41
Rb (0.0000, 0.0000, 0.5000) x1  8 K 4.34, 4 Mg 4.82
Mg (0.5000, 0.5000, 0.5000) x1  2 Zn 2.69
Zn (0.5000, 0.5000, 0.0000) x1  2 Mg 2.69

---

18.
Here is KMg2Re after structural relaxation from Alexandria via LeMat-Bulk. Energies are from PBE.

energy relative to the lowest polymorph listed for this composition	0.000	eV/atom

abc: 3.4436 4.5922 10.9512
angles: 90.00 90.00 90.00
Last column: nearest neighbours and their distance in Å.
Space group Cmmm (No. 65)
One atom of each set of equivalent atoms:
K (0.0000, 0.0000, 0.0000) x2  4 K 2.87
Mg (0.0000, 0.5000, 0.2996) x4  2 Re 2.79, 4 Mg 2.87
Re (0.0000, 0.0000, 0.5000) x2  4 Mg 2.79, 4 Re 2.87

---

19.
Here is KMg2Re after structural relaxation from Alexandria via LeMat-Bulk. Energies are from PBE.

energy relative to the lowest polymorph listed for this composition	0.222	eV/atom

abc: 5.2858 5.2858 2.9074
angles: 90.00 90.00 90.00
Last column: nearest neighbours and their distance in Å.
Space group P4/mmm (No. 123)
One atom of each set of equivalent atoms:
K (0.0000, 0.0000, 0.0000) x1  2 K 2.91, 8 Mg 3.02
Mg (0.0000, 0.5000, 0.5000) x2  2 Mg 2.91, 4 Re 3.02, 4 K 3.02
Re (0.5000, 0.5000, 0.0000) x1  2 Re 2.91, 8 Mg 3.02

---

20.
Here is K2MgRe after structural relaxation from Alexandria via LeMat-Bulk. Energies are from PBE.

energy relative to the lowest polymorph listed for this composition	0.466	eV/atom

abc: 5.5055 5.5055 7.7710
angles: 90.00 90.00 90.00
Last column: nearest neighbours and their distance in Å.
Space group I-4m2 (No. 119)
One atom of each set of equivalent atoms:
K (0.0000, 0.0000, 0.0000) x2  4 Re 3.37, 4 K 3.37
K (0.0000, 0.5000, 0.2500) x2  4 K 3.37, 4 Mg 3.37
Mg (0.0000, 0.0000, 0.5000) x2  4 K 3.37, 4 Re 3.37
Re (0.0000, 0.5000, 0.7500) x2  4 K 3.37, 4 Mg 3.37

---

Magnetization values (in μB/atom) by entry order: 0.000; 0.000; 0.000; 0.000; 0.000; 0.000; 0.000; 0.000; 0.000; 0.000; 0.589; 0.045; 0.000; 0.000; 0.000; 0.938; 0.000; 0.000; 0.000; 0.736.